Record 1
The following is a DFT calculation (meta-GGA SCAN) of K5In4 at its PBEsol-relaxed geometry.

Computed properties:
- Energy relative to the elements: -0.11 eV per atom
- Uncorrected energy: -1.439 Ry/atom

Structure (CIF):
```
data_K5In4
_space_group_name_H-M_alt 'I 4/m m m'
_space_group_IT_number 139
_space_group_name_Hall '-I 4 2'
_cell_length_a 11.4176
_cell_length_b 11.4176
_cell_length_c 4.8492
_cell_angle_alpha 90.00
_cell_angle_beta 90.00
_cell_angle_gamma 90.00
loop_
_atom_site_label
_atom_site_type_symbol
_atom_site_fract_x
_atom_site_fract_y
_atom_site_fract_z
K1 K 0.0000 0.0000 0.0000
K2 K 0.1765 0.1765 0.5000
In1 In 0.0000 0.3649 0.0000
```


Record 2
The following is a DFT calculation (meta-GGA SCAN) of LaYSc at its PBEsol-relaxed geometry.

Computed properties:
- Energy relative to the elements: 0.08 eV per atom
- Uncorrected energy: -2.081 Ry/atom

Structure (CIF):
```
data_LaYSc
_space_group_name_H-M_alt 'P 3 m 1'
_space_group_IT_number 156
_space_group_name_Hall 'P 3 -2"'
_cell_length_a 3.4717
_cell_length_b 3.4717
_cell_length_c 8.3734
_cell_angle_alpha 90.00
_cell_angle_beta 90.00
_cell_angle_gamma 120.00
loop_
_atom_site_label
_atom_site_type_symbol
_atom_site_fract_x
_atom_site_fract_y
_atom_site_fract_z
La1 La 0.0000 0.0000 0.0000
Y1 Y 0.6667 0.3333 0.3573
Sc1 Sc 0.3333 0.6667 0.6739
```